Record 1
Entry from Alexandria: crystalline CdBH2F8 at its relaxed geometry (PBE-GGA).

The calculation puts the total DFT energy (no corrections) at -50.5 eV for the cell shown. The total moment is 0.09 μB/atom.

Lattice parameters (Å, degrees): 4.5856 4.9102 6.6594 98.87 93.07 76.56
Site moments in Bohr magnetons follow the coordinates.
Element x y z (fractional)
F (0.1806, 0.8087, 0.1466)  0.24
F (0.8194, 0.1913, 0.8534)  0.24
F (0.7860, 0.2625, 0.2684)  0.00
F (0.2216, 0.1654, 0.0193)  0.24
F (0.7784, 0.8346, 0.9807)  0.24
F (0.2140, 0.7375, 0.7316)  0.00
F (0.6680, 0.7276, 0.4189)  0.01
F (0.3320, 0.2724, 0.5811)  0.01
H (0.2779, 0.4874, 0.6621)  0.00
H (0.7221, 0.5126, 0.3379)  0.00
Cd (0.0000, 0.0000, 0.5000)  0.00
B (0.0000, 0.0000, 0.0000)  -0.02



Record 2
Entry from Alexandria: crystalline CdBIF4 at its relaxed geometry (PBE-GGA).

The uncorrected formation energy comes out at -2.227 eV/atom. The total moment is 0.00 μB/atom.

Lattice parameters (Å, degrees): 6.9720 6.9720 8.3742 61.85 61.85 60.91
Element x y z (fractional)
F (0.5193, 0.8452, 0.7052)
F (0.4807, 0.1548, 0.2948)
F (0.3475, 0.3475, 0.5096)
F (0.5149, 0.5149, 0.1888)
F (0.4851, 0.4851, 0.8112)
F (0.8452, 0.5193, 0.7052)
F (0.1548, 0.4807, 0.2948)
F (0.6525, 0.6525, 0.4904)
B (0.3798, 0.3798, 0.3142)
B (0.6202, 0.6202, 0.6858)
Cd (0.8558, 0.8558, 0.2183)
Cd (0.1442, 0.1442, 0.7817)
I (0.1142, 0.1142, 0.1366)
I (0.8858, 0.8858, 0.8634)



Record 3
Entry from Alexandria: crystalline KCdBF6 at its relaxed geometry (PBE-GGA).

The uncorrected formation energy comes out at -2.579 eV/atom. The total moment is 0.00 μB/atom.

Lattice parameters (Å, degrees): 5.5931 5.5921 5.5632 91.29 88.67 59.01
Element x y z (fractional)
F (0.8896, 0.4902, 0.1818)
F (0.6293, 0.3051, 0.6265)
F (0.4441, 0.1592, 0.3355)
F (0.4876, 0.8891, 0.8183)
F (0.3070, 0.6283, 0.3724)
F (0.1596, 0.4448, 0.6642)
Cd (0.6941, 0.6941, 0.5004)
B (0.3817, 0.3812, 0.4997)
K (0.0068, 0.0081, 0.0011)



Record 4
Entry from Alexandria: crystalline CdBN2F at its relaxed geometry (PBE-GGA).

The uncorrected formation energy comes out at 0.266 eV/atom. The total moment is 0.00 μB/atom.

Lattice parameters (Å, degrees): 3.2032 3.2032 4.9842 90.00 90.00 90.00
Element x y z (fractional)
B (0.0000, 0.0000, 0.0000)
N (0.0000, 0.5000, 0.0000)
N (0.5000, 0.0000, 0.0000)
F (0.0000, 0.0000, 0.5000)
Cd (0.5000, 0.5000, 0.5000)